1.
First-principles (PBE) data for a relaxed structure of NbGeBr2, as listed in Alexandria via LeMat-Bulk.

Output
- Formation energy without anion corrections: 1.07 eV/f.u.
- Polymorph energy (0 for the lowest one): 36.9 kJ/mol of atoms

```
NbGeBr2
1.0
3.346 5.612 7.716
5.140 6.923 5.281
2.072 7.997 5.830
Nb Ge Br
1 1 2
Cartesian
0.000 0.000 0.000 Nb
5.278 10.266 9.414 Ge
9.671 18.809 17.247 Br
0.886 1.723 1.580 Br
```

=====

2.
First-principles (PBE) data for a relaxed structure of CaAcMgBi, as listed in Alexandria via LeMat-Bulk.

Output
- Formation energy from the elements: -0.359 eV per atom

```
CaAcMgBi
1.0
-1.641 -5.162 -1.974
2.377 -4.795 2.145
-3.113 -3.511 3.350
Ac Bi Ca Mg
1 1 1 1
Cartesian
-0.594 -3.367 0.880 Ac
-1.189 -6.734 1.760 Bi
-1.783 -10.101 2.641 Ca
0.000 0.000 0.000 Mg
```

=====

3.
First-principles (PBE) data for a relaxed structure of ErCdSbAu, as listed in Alexandria via LeMat-Bulk.

Output
- Formation energy without anion corrections: -1.66 eV/f.u.

```
ErCdSbAu
1.0
-2.854 -4.164 0.816
0.160 -2.362 4.533
-4.023 0.234 3.149
Cd Au Sb Er
1 1 1 1
Cartesian
-5.038 -4.719 6.374 Cd
-3.358 -3.146 4.249 Au
0.000 0.000 0.000 Sb
-1.679 -1.573 2.125 Er
```

=====

4.
First-principles (PBE) data for a relaxed structure of Mg2Si, as listed in Alexandria via LeMat-Bulk.

Output
- Formation energy without anion corrections: 0.12 eV/f.u.

```
Mg2Si
1.0
6.112 -0.031 0.318
-1.850 5.609 -0.224
-2.249 -1.561 7.084
Mg Si
8 4
Cartesian
-0.488 4.222 2.654 Mg
1.248 1.735 3.408 Mg
4.624 0.412 2.501 Mg
2.474 3.080 6.449 Mg
0.324 2.517 0.360 Mg
3.051 -0.183 5.212 Mg
0.096 -0.174 5.455 Mg
3.237 2.914 1.209 Mg
3.089 3.631 3.849 Si
2.090 0.462 0.992 Si
-1.303 2.161 4.692 Si
-0.249 3.298 6.599 Si
```

=====

5.
First-principles (PBE) data for a relaxed structure of Sm4Tm9Cd11, as listed in Alexandria via LeMat-Bulk.

Output
- Formation energy from the elements: -0.223 eV per atom

```
Sm4Tm9Cd11
1.0
-0.277 0.467 -3.434
6.780 -11.911 -2.167
-13.621 -2.532 0.755
Cd Tm Sm
11 9 4
Cartesian
-6.099 -5.990 -0.322 Cd
-8.998 -9.438 -0.557 Cd
-9.861 -4.261 0.216 Cd
-5.457 -11.520 -1.126 Cd
-1.385 -2.923 -0.286 Cd
0.000 0.000 0.000 Cd
2.156 -5.006 -0.855 Cd
-0.742 -8.453 -1.089 Cd
3.019 -10.182 -1.628 Cd
-1.563 -12.855 -1.622 Cd
-5.279 -1.588 0.210 Cd
0.350 -10.797 -3.256 Tm
-4.268 -13.529 -3.255 Tm
-2.851 -0.447 -1.591 Tm
-7.469 -3.180 -1.590 Tm
1.074 -2.252 -2.153 Tm
-9.034 -6.483 -1.913 Tm
1.915 -7.493 -2.933 Tm
-8.193 -11.724 -2.693 Tm
-3.559 -6.988 -2.423 Tm
-6.386 -8.633 -2.419 Sm
-4.095 -3.798 -1.946 Sm
-3.023 -10.178 -2.900 Sm
-0.733 -5.343 -2.427 Sm
```

=====

6.
First-principles (PBE) data for a relaxed structure of La2FePt, as listed in Alexandria via LeMat-Bulk.

Output
- Formation energy from the elements: -0.334 eV per atom

```
La2FePt
1.0
-1.300 -5.114 3.785
1.645 -6.179 -1.128
1.996 6.155 0.550
La Fe Pt
2 1 1
Cartesian
1.912 -3.021 0.419 La
0.337 -11.050 2.599 La
0.418 -1.783 2.709 Fe
0.190 -6.225 1.464 Pt
```

=====

7.
First-principles (PBE) data for a relaxed structure of CsN2F7, as listed in Alexandria via LeMat-Bulk.

Output
- Formation energy without anion corrections: -7.03 eV/f.u.

```
CsN2F7
1.0
-3.342 -1.425 -1.144
1.477 -4.262 0.993
-4.667 3.149 9.713
F N Cs
7 2 1
Cartesian
-2.946 0.764 7.657 F
-0.933 -2.843 -0.075 F
-2.024 -3.453 3.875 F
-0.244 -1.876 3.050 F
-3.827 -1.047 6.145 F
-2.705 -1.490 3.418 F
-4.507 0.916 5.688 F
-2.059 -2.551 2.852 N
-4.473 0.014 6.710 N
0.000 0.000 0.000 Cs
```

=====

8.
First-principles (PBE) data for a relaxed structure of LiFeP, as listed in Alexandria via LeMat-Bulk.

Output
- Formation energy from the elements: 0.083 eV per atom

```
LiFeP
1.0
-4.190 3.807 6.173
4.172 -4.566 5.648
1.655 1.275 6.019
Fe P Li
4 4 4
Cartesian
-0.014 -0.618 9.624 Fe
-0.003 -0.141 2.197 Fe
-2.636 2.251 6.076 Fe
2.618 -3.010 5.746 Fe
-2.673 2.429 3.938 P
-1.517 1.378 2.235 P
2.662 -2.913 3.603 P
1.511 -1.653 2.045 P
0.937 -1.239 4.517 Li
-0.950 0.651 4.636 Li
-0.954 0.480 7.304 Li
0.933 -1.410 7.185 Li
```

=====

9.
First-principles (PBE) data for a relaxed structure of SiBr2O2, as listed in Alexandria via LeMat-Bulk.

Output
- Formation energy without anion corrections: 1.29 eV/f.u.
- Polymorph energy (0 for the lowest one): 1.3 kJ/mol of atoms

```
SiBr2O2
1.0
-0.884 4.155 -3.083
2.917 -2.183 -3.778
-1.957 -0.649 -4.782
O Br Si
2 2 1
Cartesian
-0.435 0.614 -7.983 O
0.512 0.708 -3.660 O
-0.912 2.246 -5.648 Br
0.989 -0.923 -5.995 Br
0.000 0.000 0.000 Si
```

=====

10.
First-principles (PBE) data for a relaxed structure of Nd6Os2Au, as listed in Alexandria via LeMat-Bulk.

Output
- Formation energy from the elements: -0.227 eV per atom

```
Nd6Os2Au
1.0
1.534 7.652 -3.817
6.762 -5.381 -0.897
-6.720 -4.150 -3.620
Nd Au Os
12 2 4
Cartesian
2.563 4.636 -3.460 Nd
2.631 -2.424 -2.976 Nd
-1.069 3.795 -3.819 Nd
5.071 2.285 -4.772 Nd
-3.495 -4.163 -3.563 Nd
-1.009 -1.640 -2.565 Nd
1.337 1.262 -2.650 Nd
2.585 -0.238 -5.770 Nd
2.645 -5.673 -4.516 Nd
-0.987 -6.514 -4.875 Nd
-1.054 0.546 -5.359 Nd
0.240 -3.140 -5.685 Nd
0.000 0.000 0.000 Au
0.021 -4.765 -2.259 Au
-1.689 1.141 -2.422 Os
-3.497 2.362 -5.015 Os
-2.577 -1.898 -5.449 Os
4.153 0.020 -2.886 Os
```

=====

11.
First-principles (PBE) data for a relaxed structure of CrSbS2, as listed in Alexandria via LeMat-Bulk.

Output
- Formation energy without anion corrections: -0.57 eV/f.u.

```
CrSbS2
1.0
-4.769 2.501 -0.193
-2.182 -1.999 -5.483
-1.614 -5.787 -1.649
S Sb Cr
4 2 2
Cartesian
-4.254 -1.056 -2.953 S
-7.537 -4.704 -6.048 S
-1.028 -0.581 -1.276 S
-4.311 -4.229 -4.371 S
-2.535 -3.367 -1.879 Sb
-6.030 -1.918 -5.445 Sb
-5.360 -3.021 -2.803 Cr
-3.205 -2.264 -4.521 Cr
```

=====

12.
First-principles (PBE) data for a relaxed structure of Li2LaNbTc, as listed in Alexandria via LeMat-Bulk.

Output
- Formation energy from the elements: 1.421 eV per atom

```
Li2LaNbTc
1.0
4.656 0.000 0.000
0.000 4.771 0.000
0.000 0.000 4.656
Li Tc Nb La
2 1 1 1
Cartesian
0.000 0.000 2.328 Li
2.328 0.000 0.000 Li
0.000 2.385 0.000 Tc
2.328 2.385 2.328 Nb
0.000 0.000 0.000 La
```

=====

13.
First-principles (PBE) data for a relaxed structure of La2NiCl, as listed in Alexandria via LeMat-Bulk.

Output
- Formation energy without anion corrections: -2.85 eV/f.u.
- Polymorph energy (0 for the lowest one): 25.1 kJ/mol of atoms

```
La2NiCl
1.0
-3.292 -3.506 -2.247
3.705 -1.286 -3.578
-0.094 -0.479 5.286
La Cl Ni
2 1 1
Cartesian
0.003 -0.039 -0.048 La
0.203 -2.357 -2.865 La
-1.590 -3.191 0.063 Cl
1.909 -2.081 -0.602 Ni
```

=====

14.
First-principles (PBE) data for a relaxed structure of Eu2CdGa, as listed in Alexandria via LeMat-Bulk.

Output
- Formation energy from the elements: -0.202 eV per atom

```
Eu2CdGa
1.0
-2.995 2.107 -1.079
-1.418 -0.362 -3.526
-7.566 -6.455 1.638
Eu Cd Ga
2 1 1
Cartesian
-2.889 -1.055 -0.797 Eu
-9.090 -3.655 -2.169 Eu
-5.989 -2.355 -1.483 Cd
0.000 0.000 0.000 Ga
```

=====

15.
First-principles (PBE) data for a relaxed structure of Li2Co2Ag, as listed in Alexandria via LeMat-Bulk.

Output
- Formation energy from the elements: 0.240 eV per atom
- Polymorph energy (0 for the lowest one): 0.0 kJ/mol of atoms

```
Li2Co2Ag
1.0
3.178 0.000 0.000
0.000 3.178 0.000
1.589 1.589 7.593
Co Ag Li
2 1 2
Cartesian
3.178 1.589 3.796 Co
1.589 3.178 3.796 Co
0.000 0.000 0.000 Ag
3.178 3.178 5.946 Li
1.589 1.589 1.647 Li
```

=====

16.
First-principles (PBE) data for a relaxed structure of BaHoBSe4, as listed in Alexandria via LeMat-Bulk.

Output
- Formation energy without anion corrections: -9.09 eV/f.u.

```
BaHoBSe4
1.0
6.493 0.000 -0.045
0.000 6.739 0.000
-2.603 0.000 8.265
Se Ba Ho B
8 2 2 2
Cartesian
4.565 3.329 5.927 Se
1.142 5.054 4.620 Se
-0.675 6.698 2.293 Se
2.748 1.685 3.600 Se
-0.675 3.410 2.293 Se
1.713 1.685 6.934 Se
2.177 5.054 1.286 Se
4.565 0.040 5.927 Se
2.292 5.054 7.652 Ba
1.598 1.685 0.568 Ba
3.817 5.054 3.653 Ho
0.073 1.685 4.567 Ho
3.344 1.685 5.591 B
0.546 5.054 2.628 B
```

=====

17.
First-principles (PBE) data for a relaxed structure of Be2PCl, as listed in Alexandria via LeMat-Bulk.

Output
- Formation energy without anion corrections: -0.84 eV/f.u.
- Polymorph energy (0 for the lowest one): 29.7 kJ/mol of atoms

```
Be2PCl
1.0
-1.143 -4.637 -2.063
4.122 2.588 1.840
-1.095 -2.197 5.544
Be Cl P
2 1 1
Cartesian
1.189 -1.628 1.410 Be
-0.896 -1.796 4.533 Be
-0.500 -1.002 2.530 Cl
0.447 -3.115 5.163 P
```

=====

18.
First-principles (PBE) data for a relaxed structure of V2CdBr6, as listed in Alexandria via LeMat-Bulk.

Output
- Formation energy without anion corrections: -7.42 eV/f.u.

```
V2CdBr6
1.0
-3.718 -0.258 -1.139
1.300 -6.828 3.972
-2.400 6.363 6.394
Cd V Br
1 2 6
Cartesian
-4.918 2.923 2.058 Cd
-0.761 -3.580 3.298 V
-4.057 2.856 5.930 V
-2.413 -2.225 1.717 Br
-2.800 -5.232 3.662 Br
-2.404 1.501 7.510 Br
-1.502 -2.169 5.398 Br
-2.018 4.508 5.566 Br
-3.315 1.445 3.829 Br
```

=====

19.
First-principles (PBE) data for a relaxed structure of YRh6C, as listed in Alexandria via LeMat-Bulk.

Output
- Formation energy from the elements: -0.094 eV per atom

```
YRh6C
1.0
-3.218 1.990 4.036
-5.263 1.333 -1.062
-4.186 -3.367 2.114
Rh Y C
6 1 1
Cartesian
-10.868 0.437 4.304 Rh
-3.336 0.468 2.711 Rh
-4.312 0.155 0.277 Rh
-1.799 -0.482 0.784 Rh
-9.332 -0.513 2.377 Rh
-8.355 -0.199 4.811 Rh
-6.334 -0.022 2.544 Y
0.000 0.000 0.000 C
```

=====

20.
First-principles (PBE) data for a relaxed structure of SrAlCl2, as listed in Alexandria via LeMat-Bulk.

Output
- Formation energy without anion corrections: -4.12 eV/f.u.
- Polymorph energy (0 for the lowest one): 19.5 kJ/mol of atoms

```
SrAlCl2
1.0
-1.680 -3.182 1.008
3.602 -0.512 0.850
-1.432 3.309 8.063
Sr Cl Al
1 2 1
Cartesian
-0.713 1.647 4.014 Sr
0.506 -0.795 3.493 Cl
-1.317 3.043 7.416 Cl
-0.133 0.683 7.093 Al
```

=====

Number 1: VASP energy -4.24 eV/atom. Number 2: VASP energy -3.25 eV/atom. Number 3: VASP energy -3.63 eV/atom. Number 4: VASP energy -2.83 eV/atom. Number 5: VASP energy -3.11 eV/atom. Number 6: VASP energy -6.42 eV/atom. Number 7: VASP energy -3.76 eV/atom. Number 8: VASP energy -5.18 eV/atom. Number 9: VASP energy -3.48 eV/atom. Number 10: VASP energy -6.27 eV/atom. Number 11: VASP energy -5.64 eV/atom. Number 12: VASP energy -4.42 eV/atom. Number 13: VASP energy -5.08 eV/atom. Number 14: VASP energy -6.32 eV/atom. Number 15: VASP energy -3.94 eV/atom. Number 16: VASP energy -5.17 eV/atom. Number 17: VASP energy -3.89 eV/atom. Number 18: VASP energy -4.07 eV/atom. Number 19: VASP energy -7.57 eV/atom. Number 20: VASP energy -3.31 eV/atom.